Below is an optimized crystal structure of OsRhSe, with properties calculated at the PBE level.

Summary:
The relative energy among the computed polymorphs comes out at 19 meV per atom. The calculation puts the uncorrected formation energy at 0.382 eV per atom. The calculation puts the total energy at -6.9735 eV/atom. The calculation puts the spin magnetization at 0.000 μB/atom.

Geometry as extended XYZ:
```
3
Lattice="-1.978 -1.081 3.552 2.148 -1.793 3.141 0.723 2.144 3.546" Properties=species:S:1:pos:R:3 pbc="T T T"
Se 0.446 -0.365 5.120
Os 0.670 -0.547 7.680
Rh 0.000 0.000 0.000
```